1.
A PBEsol-optimized structure of SrReAgCl2. Source: Alexandria, functional meta-GGA SCAN.

a = 5.3087 Å, b = 5.3087 Å, c = 6.6258 Å
α = 90.00°, β = 90.00°, γ = 90.00°
Last column: magnetic moment on the atom in μB.
Positions (direct):
Sr  0.0000  0.0000  0.0000  -0.01
Cl  0.5000  0.0000  0.0000  0.00
Cl  0.0000  0.5000  0.0000  0.00
Ag  0.5000  0.5000  0.5000  -0.19
Re  0.0000  0.0000  0.5000  3.42

Output
space group: No. 123
M_tot: 4.067 Bohr magnetons per cell
final energy: -138.1 eV per cell
formation energy (no corrections): 0.5208 eV per atom
DOS at the Fermi energy: 0.81 states/eV per cell



2.
A PBEsol-optimized structure of Li2PPb. Source: Alexandria, functional meta-GGA SCAN.

a = 4.1503 Å, b = 4.1503 Å, c = 5.6792 Å
α = 68.57°, β = 68.57°, γ = 60.00°
Positions (direct):
P  0.5753  0.5753  0.2741
Pb  0.7560  0.7560  0.7320
Li  0.2103  0.2103  0.3690
Li  0.9584  0.9584  0.1249

Output
space group: No. 160
energy above the lowest structure with this stoichiometry: 0.000 eV per atom
M_tot: 0.000 Bohr magnetons per cell
formation energy: -0.3828 eV per atom
final energy: -92.5 eV per cell
DOS at the Fermi energy: 1.07 states/eV per cell